(1)
A plane-wave DFT calculation with meta-GGA SCAN was carried out for a PBEsol-optimized structure of Sc2AlZn2.

Computed properties:
Its spin magnetization is 0.00 Bohr magnetons per cell. The calculation puts the calculated total energy at -13.1204 eV per atom. As for the energy of formation from the pure elements: -469 meV per atom. Its space group is P4/mbm (127). The calculation puts the density of states at the Fermi level at 6.07 states/eV per cell.

a b c (Å): 3.9951 6.7018 6.7018
angles (deg): 90.00 90.00 90.00
Positions (direct):
1 Sc 0.5000 0.6700 0.8300
2 Sc 0.5000 0.8300 0.3300
3 Sc 0.5000 0.3300 0.1700
4 Sc 0.5000 0.1700 0.6700
5 Zn 0.0000 0.8704 0.6296
6 Zn 0.0000 0.6296 0.1296
7 Zn 0.0000 0.3704 0.8704
8 Zn 0.0000 0.1296 0.3704
9 Al 0.0000 0.5000 0.5000
10 Al 0.0000 0.0000 0.0000

***

(2)
A plane-wave DFT calculation with meta-GGA SCAN was carried out for a PBEsol-optimized structure of Sc2AlZn.

Computed properties:
The calculation puts the energy above the most stable polymorph in this dataset at 94 meV/atom. Its spin magnetization is 0.19 Bohr magnetons per cell. The calculation puts the calculated total energy at -12.8201 eV per atom. As for the energy of formation from the pure elements: -385 meV per atom. Its space group is Imm2 (44). The calculation puts the density of states at the Fermi level at 3.52 states/eV per cell.

a b c (Å): 3.2755 4.6712 5.6529
angles (deg): 114.40 106.84 90.00
Each line ends with the local moment (μB).
Positions (direct):
1 Sc 0.9942 0.9942 0.9884  0.06
2 Sc 0.7664 0.2664 0.5328  0.06
3 Zn 0.5183 0.5183 0.0365  0.00
4 Al 0.2211 0.7211 0.4423  -0.01